Record 1
BeZnP2O | PBE-GGA | relaxed

For the size of the total moment, the calculation gives 0.0 μB/f.u. The formation energy (no corrections) is 0.87 eV per atom. As for the energy above the most stable polymorph in this dataset: 0.960 eV/atom. The value obtained for the theoretical density is 3.1 g/cm³.

Lattice parameters (Å, degrees): 4.830 4.830 3.515 90.00 90.00 90.00
Element x y z (fractional)
Zn 0.000 0.000 0.000
O 0.000 0.000 0.500
P 0.500 0.000 0.000
P 0.000 0.500 0.000
Be 0.500 0.500 0.500

***

Record 2
Pa2Be2O7 | PBE-GGA | relaxed

For the size of the total moment, the calculation gives 0.0 μB/f.u. The formation energy (no corrections) is -3.11 eV per atom. The value obtained for the theoretical density is 7.4 g/cm³.

Lattice parameters (Å, degrees): 5.510 4.562 5.510 97.35 79.64 82.65
Element x y z (fractional)
O 0.410 0.271 0.908
Be 0.793 0.936 0.207
Pa 0.708 0.500 0.708
O 0.092 0.271 0.590
O 0.384 0.758 0.616
Pa 0.292 0.500 0.292
Be 0.207 0.064 0.793
O 0.616 0.242 0.384
O 0.000 0.000 0.000
O 0.908 0.729 0.410
O 0.590 0.729 0.092

***

Record 3
PaBeO3 | PBE-GGA | relaxed

For the size of the total moment, the calculation gives 1.0 μB/f.u. The formation energy (no corrections) is -2.80 eV per atom. The value obtained for the theoretical density is 10.2 g/cm³.

Lattice parameters (Å, degrees): 3.608 3.608 3.608 90.00 90.00 90.00
Last column: magnetic moment on the atom in μB.
Element x y z (fractional)
O 0.500 0.000 0.500  -0.01
O 0.000 0.500 0.500  -0.01
O 0.500 0.500 0.000  -0.01
Pa 0.000 0.000 0.000  0.98
Be 0.500 0.500 0.500  0.00

***

Record 4
PaBe2O4 | PBE-GGA | relaxed

For the size of the total moment, the calculation gives 0.1 μB/f.u. The formation energy (no corrections) is -2.74 eV per atom. The value obtained for the theoretical density is 5.4 g/cm³.

Lattice parameters (Å, degrees): 4.383 5.190 5.190 79.73 65.02 65.02
Last column: magnetic moment on the atom in μB.
Element x y z (fractional)
O 0.816 0.687 0.680  0.00
O 0.496 0.320 0.687  0.00
O 0.504 0.680 0.313  0.00
O 0.184 0.313 0.320  0.00
Be 0.750 0.500 0.500  0.00
Pa 0.500 0.000 0.000  0.09
Be 0.250 0.500 0.500  0.00